Ta4Rh5 | GGA-PBE | relaxed

a b c (Å): 7.8197 7.8197 5.4207
angles (deg): 90.00 90.00 60.00
Atoms (fractional coordinates):
Rh  0.0000  0.6634  0.7500
Rh  0.3333  0.3333  0.0000
Rh  0.3366  0.0000  0.7500
Rh  0.6634  0.0000  0.2500
Rh  0.6634  0.3366  0.7500
Rh  0.3366  0.6634  0.2500
Rh  0.0000  0.3366  0.2500
Rh  0.6667  0.6667  0.0000
Rh  0.3333  0.3333  0.5000
Rh  0.6667  0.6667  0.5000
Ta  0.0000  0.3373  0.7500
Ta  0.0000  0.0000  0.5000
Ta  0.3373  0.6627  0.7500
Ta  0.6627  0.0000  0.7500
Ta  0.0000  0.0000  0.0000
Ta  0.6627  0.3373  0.2500
Ta  0.0000  0.6627  0.2500
Ta  0.3373  0.0000  0.2500

Computed properties:
energy above the most stable polymorph in this dataset	0.093	eV/atom
total energy	-9.76	eV per atom